# 1
DFT (PBE) results for a relaxed AcTb3Pm2Te6 crystal.

Properties
The volume comes out at 377.44 Å³/f.u. The total energy is -62.76 eV per cell. The energy relative to the elements, uncorrected is -1367 meV per atom. The value obtained for the total magnetization is 0.000 μB/f.u. The value obtained for the density of states at the Fermi level is 6.48 states/eV per cell. The space group is No. 12.

Cell: 7.6945 7.6945 7.8314 Å, 99.44 99.44 120.41°
Closest atoms and distances in Å follow each position.
Fractional coordinates of all 12 atoms:
Te 0.9108 0.5671 0.7334  3 Tb 3.10-3.12, 2 Pm 3.19-3.20, 1 Ac 3.29
Te 0.7411 0.7411 0.2575  3 Tb 3.05-3.09, 2 Pm 3.17, 1 Ac 3.26
Te 0.2589 0.2589 0.7425  3 Tb 3.05-3.09, 2 Pm 3.17, 1 Ac 3.26
Te 0.0892 0.4329 0.2666  3 Tb 3.10-3.12, 2 Pm 3.19-3.20, 1 Ac 3.29
Te 0.5671 0.9108 0.7334  3 Tb 3.10-3.12, 2 Pm 3.19-3.20, 1 Ac 3.29
Te 0.4329 0.0892 0.2666  3 Tb 3.10-3.12, 2 Pm 3.19-3.20, 1 Ac 3.29
Tb 0.8412 0.1588 0.5000  6 Te 3.09-3.12
Tb 0.1588 0.8412 0.5000  6 Te 3.09-3.12
Tb 0.5000 0.5000 0.5000  6 Te 3.05-3.12
Pm 0.6683 0.3317 0.0000  6 Te 3.17-3.20
Pm 0.3317 0.6683 0.0000  6 Te 3.17-3.20
Ac 0.0000 0.0000 0.0000  6 Te 3.26-3.29

***

# 2
DFT (PBE) results for a relaxed Ac2TbPmTe6 crystal.

Properties
The volume comes out at 410.19 Å³/f.u. The total energy is -50.95 eV per cell. The energy relative to the elements, uncorrected is -1451 meV per atom. The value obtained for the total magnetization is 0.000 μB/f.u. The value obtained for the density of states at the Fermi level is 0.00 states/eV per cell. The space group is No. 146.

Cell: 8.1497 8.1496 8.5429 Å, 61.52 61.52 60.01°
Closest atoms and distances in Å follow each position.
Fractional coordinates of all 10 atoms:
Te 0.5924 0.1973 0.2594  1 Tb 3.08, 1 Pm 3.18, 2 Ac 3.32-3.38
Te 0.6933 0.0984 0.7630  1 Tb 3.12, 1 Pm 3.13, 2 Ac 3.31-3.37
Te 0.1972 0.9509 0.2595  1 Tb 3.08, 1 Pm 3.18, 2 Ac 3.32-3.38
Te 0.0983 0.4455 0.7630  1 Tb 3.12, 1 Pm 3.13, 2 Ac 3.31-3.37
Te 0.9511 0.5923 0.2595  1 Tb 3.08, 1 Pm 3.18, 2 Ac 3.32-3.38
Te 0.4453 0.6933 0.7630  1 Tb 3.12, 1 Pm 3.13, 2 Ac 3.31-3.37
Ac 0.5215 0.5215 0.4356  6 Te 3.32-3.37
Ac 0.0209 0.0208 0.9375  6 Te 3.31-3.38
Pm 0.8204 0.8205 0.5386  6 Te 3.13-3.18
Tb 0.3214 0.3212 0.0361  6 Te 3.08-3.12

***

# 3
DFT (PBE) results for a relaxed Ac3TbPm2Te6 crystal.

Properties
The volume comes out at 408.22 Å³/f.u. The total energy is -62.45 eV per cell. The energy relative to the elements, uncorrected is -1429 meV per atom. The value obtained for the total magnetization is 0.000 μB/f.u. The value obtained for the density of states at the Fermi level is 6.57 states/eV per cell. The space group is No. 12.

Cell: 4.5307 9.2776 10.3047 Å, 104.59 102.70 90.00°
Closest atoms and distances in Å follow each position.
Fractional coordinates of all 12 atoms:
Te 0.3402 0.9080 0.6804  1 Tb 3.10, 2 Pm 3.17, 3 Ac 3.33-3.34
Te 0.6701 0.5741 0.3401  3 Pm 3.15-3.16, 3 Ac 3.31-3.32
Te 0.3299 0.4259 0.6599  3 Pm 3.15-3.16, 3 Ac 3.31-3.32
Te 0.0031 0.2346 0.0061  2 Tb 3.13, 1 Pm 3.20, 3 Ac 3.35-3.36
Te 0.9969 0.7654 0.9939  2 Tb 3.13, 1 Pm 3.20, 3 Ac 3.35-3.36
Te 0.6598 0.0920 0.3196  1 Tb 3.10, 2 Pm 3.17, 3 Ac 3.33-3.34
Tb 0.5000 0.0000 0.0000  6 Te 3.10-3.13
Ac 0.1688 0.8347 0.3375  6 Te 3.32-3.35
Ac 0.5000 0.5000 0.0000  6 Te 3.31-3.36
Ac 0.8312 0.1653 0.6625  6 Te 3.32-3.35
Pm 0.1676 0.3352 0.3352  6 Te 3.15-3.20
Pm 0.8324 0.6648 0.6648  6 Te 3.15-3.20

***

# 4
DFT (PBE) results for a relaxed Ac3Tb2PmTe6 crystal.

Properties
The volume comes out at 403.94 Å³/f.u. The total energy is -62.14 eV per cell. The energy relative to the elements, uncorrected is -1413 meV per atom. The value obtained for the total magnetization is 0.000 μB/f.u. The value obtained for the density of states at the Fermi level is 6.04 states/eV per cell. The space group is No. 12.

Cell: 4.4859 9.3058 10.3092 Å, 105.53 102.57 90.00°
Closest atoms and distances in Å follow each position.
Fractional coordinates of all 12 atoms:
Te 0.3273 0.4314 0.6546  3 Tb 3.12, 3 Ac 3.36
Te 0.6727 0.5686 0.3454  3 Tb 3.12, 3 Ac 3.36
Te 0.9934 0.7584 0.9868  1 Tb 3.08, 2 Pm 3.15, 3 Ac 3.32
Te 0.0066 0.2416 0.0132  1 Tb 3.08, 2 Pm 3.15, 3 Ac 3.32
Te 0.3359 0.9015 0.6718  2 Tb 3.11, 1 Pm 3.18, 3 Ac 3.33-3.35
Te 0.6641 0.0985 0.3282  2 Tb 3.11, 1 Pm 3.18, 3 Ac 3.33-3.35
Tb 0.8341 0.6685 0.6682  6 Te 3.08-3.12
Tb 0.1659 0.3315 0.3318  6 Te 3.08-3.12
Ac 0.5000 0.5000 0.0000  6 Te 3.32-3.36
Ac 0.8356 0.1682 0.6712  6 Te 3.32-3.36
Ac 0.1644 0.8318 0.3288  6 Te 3.32-3.36
Pm 0.5000 0.0000 0.0000  6 Te 3.15-3.18